Record 1
Here is crystalline Dy4Ga12Co at its relaxed geometry from the Open Quantum Materials Database. Energies are from PBE.

Properties
- E: -4.20 eV per atom
- SG: Im-3m, No. 229

```
data_Dy4Ga12Co
_chemical_formula_sum 'Dy4 Ga12 Co1'
_symmetry_space_group_name_H-M 'P 1'
_symmetry_Int_Tables_number 1
_cell_length_a 7.4117
_cell_length_b 7.4117
_cell_length_c 7.4117
_cell_angle_alpha 109.47
_cell_angle_beta 109.47
_cell_angle_gamma 109.47
loop_
_symmetry_equiv_pos_as_xyz
'x,y,z'
loop_
_atom_site_label
_atom_site_fract_x
_atom_site_fract_y
_atom_site_fract_z
_atom_site_occupancy
Co1 0.0000 0.0000 0.0000 1
Dy1 0.5000 0.0000 0.0000 1
Dy2 0.0000 0.5000 0.0000 1
Dy3 0.0000 0.0000 0.5000 1
Dy4 0.5000 0.5000 0.5000 1
Ga1 0.2826 0.2826 0.0000 1
Ga2 0.7174 0.7174 0.0000 1
Ga3 0.7500 0.5000 0.2500 1
Ga4 0.5000 0.7500 0.2500 1
Ga5 0.2826 0.0000 0.2826 1
Ga6 0.0000 0.2826 0.2826 1
Ga7 0.7500 0.2500 0.5000 1
Ga8 0.2500 0.7500 0.5000 1
Ga9 0.7174 0.0000 0.7174 1
Ga10 0.0000 0.7174 0.7174 1
Ga11 0.5000 0.2500 0.7500 1
Ga12 0.2500 0.5000 0.7500 1
```

Record 2
Here is crystalline Zn3P2O8 at its relaxed geometry from the Open Quantum Materials Database. Energies are from PBE.

Properties
- ΔE to the lowest computed polymorph: 0.015 eV per atom
- E: -6.09 eV per atom
- SG: P2_1/c, No. 14

```
data_Zn3P2O8
_chemical_formula_sum 'Zn6 P4 O16'
_symmetry_space_group_name_H-M 'P 1'
_symmetry_Int_Tables_number 1
_cell_length_a 5.0609
_cell_length_b 8.3985
_cell_length_c 8.6615
_cell_angle_alpha 90.00
_cell_angle_beta 120.80
_cell_angle_gamma 90.00
loop_
_symmetry_equiv_pos_as_xyz
'x,y,z'
loop_
_atom_site_label
_atom_site_fract_x
_atom_site_fract_y
_atom_site_fract_z
_atom_site_occupancy
O1 0.7116 0.1339 0.0452 1
O2 0.3048 0.1983 0.1229 1
O3 0.1983 0.5798 0.1422 1
O4 0.8036 0.3621 0.2499 1
O5 0.1964 0.8621 0.2501 1
O6 0.8017 0.0798 0.3578 1
O7 0.6952 0.6983 0.3771 1
O8 0.2884 0.6339 0.4548 1
O9 0.7116 0.3661 0.5452 1
O10 0.3048 0.3017 0.6229 1
O11 0.1983 0.9202 0.6422 1
O12 0.8036 0.1379 0.7499 1
O13 0.1964 0.6379 0.7501 1
O14 0.8017 0.4202 0.8578 1
O15 0.6952 0.8017 0.8771 1
O16 0.2884 0.8661 0.9548 1
P1 0.6536 0.1930 0.1932 1
P2 0.3464 0.6930 0.3068 1
P3 0.6536 0.3070 0.6932 1
P4 0.3464 0.8070 0.8068 1
Zn1 0.0000 0.0000 0.0000 1
Zn2 0.0364 0.3637 0.1225 1
Zn3 0.9636 0.8637 0.3775 1
Zn4 0.0000 0.5000 0.5000 1
Zn5 0.0364 0.1363 0.6225 1
Zn6 0.9636 0.6363 0.8775 1
```

Record 3
Here is crystalline TbYNO at its relaxed geometry from the Open Quantum Materials Database. Energies are from PBE.

Properties
- ΔE to the lowest computed polymorph: 0.000 eV per atom
- E: -8.40 eV per atom
- SG: P4/nmm, No. 129

```
data_TbYNO
_chemical_formula_sum 'Tb2 Y2 N2 O2'
_symmetry_space_group_name_H-M 'P 1'
_symmetry_Int_Tables_number 1
_cell_length_a 4.8631
_cell_length_b 4.8631
_cell_length_c 4.8299
_cell_angle_alpha 90.00
_cell_angle_beta 90.00
_cell_angle_gamma 90.00
loop_
_symmetry_equiv_pos_as_xyz
'x,y,z'
loop_
_atom_site_label
_atom_site_fract_x
_atom_site_fract_y
_atom_site_fract_z
_atom_site_occupancy
N1 0.0000 0.5000 0.4990 1
N2 0.5000 0.0000 0.5010 1
O1 0.0000 0.0000 0.0000 1
O2 0.5000 0.5000 0.0000 1
Tb1 0.0000 0.0000 0.5000 1
Tb2 0.5000 0.5000 0.5000 1
Y1 0.5000 0.0000 0.0002 1
Y2 0.0000 0.5000 0.9998 1
```

Record 4
Here is crystalline Lu4In5Pd2 at its relaxed geometry from the Open Quantum Materials Database. Energies are from PBE.

Properties
- E: -4.44 eV per atom
- SG: P2/m, No. 10

```
data_Lu4In5Pd2
_chemical_formula_sum 'Lu4 In5 Pd2'
_symmetry_space_group_name_H-M 'P 1'
_symmetry_Int_Tables_number 1
_cell_length_a 7.7106
_cell_length_b 3.5032
_cell_length_c 9.5734
_cell_angle_alpha 90.00
_cell_angle_beta 94.61
_cell_angle_gamma 90.00
loop_
_symmetry_equiv_pos_as_xyz
'x,y,z'
loop_
_atom_site_label
_atom_site_fract_x
_atom_site_fract_y
_atom_site_fract_z
_atom_site_occupancy
In1 0.4581 0.0000 0.1722 1
In2 0.8389 0.0000 0.3584 1
In3 0.5000 0.0000 0.5000 1
In4 0.1611 0.0000 0.6416 1
In5 0.5419 0.0000 0.8278 1
Lu1 0.7810 0.5000 0.0655 1
Lu2 0.1871 0.5000 0.3549 1
Lu3 0.8129 0.5000 0.6451 1
Lu4 0.2190 0.5000 0.9345 1
Pd1 0.0759 0.0000 0.1380 1
Pd2 0.9241 0.0000 0.8620 1
```

Record 5
Here is crystalline Zr2SnGePt2 at its relaxed geometry from the Open Quantum Materials Database. Energies are from PBE.

Properties
- E: -7.30 eV per atom
- SG: Pm, No. 6

```
data_Zr2SnGePt2
_chemical_formula_sum 'Zr8 Sn4 Ge4 Pt8'
_symmetry_space_group_name_H-M 'P 1'
_symmetry_Int_Tables_number 1
_cell_length_a 10.9355
_cell_length_b 4.4643
_cell_length_c 10.9375
_cell_angle_alpha 90.00
_cell_angle_beta 109.48
_cell_angle_gamma 90.00
loop_
_symmetry_equiv_pos_as_xyz
'x,y,z'
loop_
_atom_site_label
_atom_site_fract_x
_atom_site_fract_y
_atom_site_fract_z
_atom_site_occupancy
Ge1 0.7503 0.0000 0.0015 1
Ge2 0.1257 0.5000 0.1264 1
Ge3 0.4989 0.0000 0.2497 1
Ge4 0.2507 0.0000 0.4988 1
Pt1 0.0017 0.0000 0.0060 1
Pt2 0.3740 0.5000 0.1287 1
Pt3 0.7454 0.0000 0.2444 1
Pt4 0.1281 0.5000 0.3731 1
Pt5 0.4941 0.0000 0.4949 1
Pt6 0.8746 0.5000 0.6249 1
Pt7 0.2513 0.0000 0.7456 1
Pt8 0.6301 0.5000 0.8801 1
Sn1 0.8746 0.5000 0.3735 1
Sn2 0.6245 0.5000 0.6250 1
Sn3 0.0006 0.0000 0.7506 1
Sn4 0.3748 0.5000 0.8755 1
Zr1 0.2505 0.0000 0.0052 1
Zr2 0.6228 0.5000 0.1248 1
Zr3 0.0022 0.0000 0.2498 1
Zr4 0.3721 0.5000 0.3724 1
Zr5 0.7452 0.0000 0.4954 1
Zr6 0.1275 0.5000 0.6208 1
Zr7 0.5024 0.0000 0.7505 1
Zr8 0.8778 0.5000 0.8823 1
```

Record 6
Here is crystalline TaZnNiPd at its relaxed geometry from the Open Quantum Materials Database. Energies are from PBE.

Properties
- ΔE to the lowest computed polymorph: 0.186 eV per atom
- E: -6.03 eV per atom
- Energy relative to the elements: -0.0616 eV/atom
- SG: F-43m, No. 216

```
data_TaZnNiPd
_chemical_formula_sum 'Ta1 Zn1 Ni1 Pd1'
_symmetry_space_group_name_H-M 'P 1'
_symmetry_Int_Tables_number 1
_cell_length_a 4.3512
_cell_length_b 4.3512
_cell_length_c 4.3512
_cell_angle_alpha 60.00
_cell_angle_beta 60.00
_cell_angle_gamma 60.00
loop_
_symmetry_equiv_pos_as_xyz
'x,y,z'
loop_
_atom_site_label
_atom_site_fract_x
_atom_site_fract_y
_atom_site_fract_z
_atom_site_occupancy
Ni1 0.7500 0.7500 0.7500 1
Pd1 0.5000 0.5000 0.5000 1
Ta1 0.2500 0.2500 0.2500 1
Zn1 0.0000 0.0000 0.0000 1
```

Record 7
Here is crystalline Ba2Sm at its relaxed geometry from the Open Quantum Materials Database. Energies are from PBE.

Properties
- E: -2.35 eV per atom
- SG: Fd-3m, No. 227

```
data_Ba2Sm
_chemical_formula_sum 'Ba4 Sm2'
_symmetry_space_group_name_H-M 'P 1'
_symmetry_Int_Tables_number 1
_cell_length_a 7.4496
_cell_length_b 7.4496
_cell_length_c 7.4496
_cell_angle_alpha 60.00
_cell_angle_beta 60.00
_cell_angle_gamma 60.00
loop_
_symmetry_equiv_pos_as_xyz
'x,y,z'
loop_
_atom_site_label
_atom_site_fract_x
_atom_site_fract_y
_atom_site_fract_z
_atom_site_occupancy
Ba1 0.6250 0.6250 0.1250 1
Ba2 0.6250 0.1250 0.6250 1
Ba3 0.1250 0.6250 0.6250 1
Ba4 0.6250 0.6250 0.6250 1
Sm1 0.0000 0.0000 0.0000 1
Sm2 0.2500 0.2500 0.2500 1
```

Record 8
Here is crystalline BaDyB4 at its relaxed geometry from the Open Quantum Materials Database. Energies are from PBE.

Properties
- ΔE to the lowest computed polymorph: 0.010 eV per atom
- E: -5.62 eV per atom
- SG: P6/mmm, No. 191

```
data_BaDyB4
_chemical_formula_sum 'Ba1 Dy1 B4'
_symmetry_space_group_name_H-M 'P 1'
_symmetry_Int_Tables_number 1
_cell_length_a 3.2942
_cell_length_b 3.2942
_cell_length_c 8.7606
_cell_angle_alpha 90.00
_cell_angle_beta 90.00
_cell_angle_gamma 120.00
loop_
_symmetry_equiv_pos_as_xyz
'x,y,z'
loop_
_atom_site_label
_atom_site_fract_x
_atom_site_fract_y
_atom_site_fract_z
_atom_site_occupancy
B1 0.6667 0.3333 0.2846 1
B2 0.3333 0.6667 0.2846 1
B3 0.6667 0.3333 0.7154 1
B4 0.3333 0.6667 0.7154 1
Ba1 0.0000 0.0000 0.0000 1
Dy1 0.0000 0.0000 0.5000 1
```

The highest E belongs to which entry?
Ba2Sm

Among the records above, which one has the lowest E?
TbYNO